Computed, not measured: a geometry-optimized Y5Cd4Pd structure at the PBE-GGA level of DFT.

a b c (Å): 3.689 3.689 18.630
angles (deg): 90.00 90.00 90.00
Space group P4/mmm (No. 123)
Unique sites:
Y (0.000, 0.000, 0.000)
Y (0.000, 0.000, 0.206)
Y (0.000, 0.000, 0.411)
Cd (0.500, 0.500, 0.103)
Cd (0.500, 0.500, 0.306)
Pd (0.500, 0.500, 0.500)

Properties
E_form: -453 meV per atom
DOS(E_F): 8.9 states/eV/f.u.
volume: 25.360 Å³/atom
total energy: -4.571 eV per atom

Computed, not measured: a geometry-optimized YCd2Pd8 structure at the PBE-GGA level of DFT.

a b c (Å): 14.559 4.157 6.416
angles (deg): 90.00 105.59 90.00
Space group C2/m (No. 12)
Unique sites:
Y (0.000, 0.000, 0.000)
Cd (0.225, 0.500, 0.647)
Pd (0.042, 0.500, 0.720)
Pd (0.092, 0.000, 0.462)
Pd (0.139, 0.500, 0.185)
Pd (0.182, 0.000, 0.912)

Properties
E_form: -465 meV per atom
DOS(E_F): 3.7 states/eV/f.u.
volume: 17.001 Å³/atom
total energy: -4.996 eV per atom

Computed, not measured: a geometry-optimized Y4CdPd5 structure at the PBE-GGA level of DFT.

a b c (Å): 3.511 3.511 16.980
angles (deg): 90.00 90.00 90.00
Space group P4/mmm (No. 123)
Unique sites:
Y (0.000, 0.000, 0.104)
Y (0.000, 0.000, 0.313)
Cd (0.000, 0.000, 0.500)
Pd (0.500, 0.500, 0.000)
Pd (0.500, 0.500, 0.210)
Pd (0.500, 0.500, 0.411)

Properties
E_form: -794 meV per atom
DOS(E_F): 6.0 states/eV/f.u.
volume: 20.934 Å³/atom
total energy: -6.068 eV per atom

Computed, not measured: a geometry-optimized YCd6Pd12 structure at the PBE-GGA level of DFT.

a b c (Å): 11.1116 11.1116 9.6947
angles (deg): 90.00 90.00 120.00
Space group R-3m (No. 166, hexagonal axes)
Unique sites:
Y (0.0000, 0.0000, 0.0000)
Cd (0.0890, 0.1780, 0.7326)
Pd (0.0000, 0.2567, 0.0000)
Pd (0.0559, 0.5280, 0.1239)

Properties
E_form: -227 meV per atom
DOS(E_F): 12.1 states/eV/f.u.
volume: 18.186 Å³/atom
total energy: -4.136 eV per atom

Computed, not measured: a geometry-optimized YCd2Pd2 structure at the PBE-GGA level of DFT.

a b c (Å): 5.445 4.684 8.842
angles (deg): 90.00 107.38 90.00
Space group P2_1/m (No. 11)
Unique sites:
Y (0.070, 0.250, 0.261)
Cd (0.343, 0.250, 0.965)
Cd (0.409, 0.250, 0.632)
Pd (0.141, 0.750, 0.468)
Pd (0.175, 0.750, 0.088)

Properties
E_form: -546 meV per atom
DOS(E_F): 2.8 states/eV/f.u.
volume: 21.525 Å³/atom
total energy: -4.282 eV per atom
distance to the lowest polymorph of the same formula: 0.000 eV per atom

Computed, not measured: a geometry-optimized YCd2Pd5 structure at the PBE-GGA level of DFT.

a b c (Å): 4.221 4.221 15.858
angles (deg): 90.00 90.00 90.00
Space group I4/mmm (No. 139)
Unique sites:
Y (0.000, 0.000, 0.000)
Cd (0.000, 0.000, 0.252)
Pd (0.000, 0.000, 0.500)
Pd (0.000, 0.500, 0.128)

Properties
E_form: -597 meV per atom
DOS(E_F): 2.8 states/eV/f.u.
volume: 17.655 Å³/atom
total energy: -4.879 eV per atom

Computed, not measured: a geometry-optimized Y2CdPd5 structure at the PBE-GGA level of DFT.

a b c (Å): 6.103 6.103 7.883
angles (deg): 90.00 90.00 90.00
Space group I4/mmm (No. 139)
Unique sites:
Y (0.000, 0.500, 0.000)
Cd (0.000, 0.000, 0.000)
Pd (0.000, 0.000, 0.500)
Pd (0.250, 0.250, 0.250)

Properties
E_form: -759 meV per atom
DOS(E_F): 2.3 states/eV/f.u.
volume: 18.350 Å³/atom
total energy: -5.735 eV per atom

Computed, not measured: a geometry-optimized YCd4Pd7 structure at the PBE-GGA level of DFT.

a b c (Å): 10.661 5.033 10.009
angles (deg): 90.00 120.47 90.00
Space group C2/m (No. 12)
Unique sites:
Y (0.000, 0.000, 0.000)
Cd (0.086, 0.500, 0.770)
Cd (0.249, 0.500, 0.332)
Pd (0.000, 0.500, 0.000)
Pd (0.056, 0.000, 0.343)
Pd (0.145, 0.500, 0.532)
Pd (0.216, 0.000, 0.919)

Properties
E_form: -290 meV per atom
DOS(E_F): 3.8 states/eV/f.u.
volume: 19.289 Å³/atom
total energy: -4.163 eV per atom

Computed, not measured: a geometry-optimized YCd3Pd6 structure at the PBE-GGA level of DFT.

a b c (Å): 8.797 4.291 9.445
angles (deg): 90.00 95.46 90.00
Space group P2_1/m (No. 11)
Unique sites:
Y (0.064, 0.250, 0.375)
Cd (0.248, 0.250, 0.015)
Cd (0.344, 0.750, 0.808)
Cd (0.448, 0.250, 0.603)
Pd (0.054, 0.750, 0.912)
Pd (0.151, 0.250, 0.706)
Pd (0.155, 0.750, 0.206)
Pd (0.254, 0.750, 0.507)
Pd (0.366, 0.250, 0.301)
Pd (0.454, 0.750, 0.100)

Properties
E_form: -521 meV per atom
DOS(E_F): 3.1 states/eV/f.u.
volume: 17.744 Å³/atom
total energy: -4.558 eV per atom

Computed, not measured: a geometry-optimized YCd2Pd3 structure at the PBE-GGA level of DFT.

a b c (Å): 4.7484 4.7484 11.6017
angles (deg): 90.00 90.00 120.00
Space group P-3m1 (No. 164)
Unique sites:
Y (0.3333, 0.6667, 0.1696)
Cd (0.0000, 0.0000, 0.0000)
Cd (0.0000, 0.0000, 0.5000)
Cd (0.3333, 0.6667, 0.6628)
Pd (0.0000, 0.0000, 0.2590)
Pd (0.3333, 0.6667, 0.4188)
Pd (0.3333, 0.6667, 0.9158)

Properties
E_form: -608 meV per atom
DOS(E_F): 2.9 states/eV/f.u.
volume: 18.877 Å³/atom
total energy: -4.587 eV per atom

Computed, not measured: a geometry-optimized Y2Cd2Pd structure at the PBE-GGA level of DFT.

a b c (Å): 7.494 7.494 4.864
angles (deg): 90.00 90.00 90.00
Space group P4/mbm (No. 127)
Unique sites:
Y (0.166, 0.334, 0.000)
Cd (0.141, 0.641, 0.500)
Pd (0.000, 0.000, 0.000)

Properties
E_form: -135 meV per atom
DOS(E_F): 5.3 states/eV/f.u.
volume: 27.319 Å³/atom
total energy: -4.125 eV per atom
distance to the lowest polymorph of the same formula: 0.191 eV per atom

Computed, not measured: a geometry-optimized Y4CdPd3 structure at the PBE-GGA level of DFT.

a b c (Å): 5.049 5.049 7.170
angles (deg): 90.00 90.00 90.00
Space group P4/mmm (No. 123)
Unique sites:
Y (0.000, 0.500, 0.240)
Cd (0.000, 0.000, 0.500)
Pd (0.000, 0.000, 0.000)
Pd (0.500, 0.500, 0.000)
Pd (0.500, 0.500, 0.500)

Properties
E_form: -717 meV per atom
DOS(E_F): 6.5 states/eV/f.u.
volume: 22.844 Å³/atom
total energy: -6.011 eV per atom

Repeat the eleventh record exactly.
Computed, not measured: a geometry-optimized Y2Cd2Pd structure at the PBE-GGA level of DFT.

a b c (Å): 7.494 7.494 4.864
angles (deg): 90.00 90.00 90.00
Space group P4/mbm (No. 127)
Unique sites:
Y (0.166, 0.334, 0.000)
Cd (0.141, 0.641, 0.500)
Pd (0.000, 0.000, 0.000)

Properties
E_form: -135 meV per atom
DOS(E_F): 5.3 states/eV/f.u.
volume: 27.319 Å³/atom
total energy: -4.125 eV per atom
distance to the lowest polymorph of the same formula: 0.191 eV per atom

Question: Which formula does entry 4 have?
Answer: YCd6Pd12

Question: Which of these has the lowest total energy?
Answer: Y4CdPd5

Question: Look up the total energy of the first one.
Answer: -4.571 eV per atom